This record from OQMD describes a geometry-optimized KSiTeAuSe2 structure. The functional is PBE-GGA.

Properties
space-group type	Cmcm (63)
VASP energy	-3.65	eV/atom

```
KSiTeAuSe2
1.0
1.8045 -8.4746 0.0000
1.8045 8.4746 0.0000
0.0000 0.0000 10.8298
K Si Te Au Se
2 2 2 2 4
direct
0.2244 0.7756 0.7500 K
0.7756 0.2244 0.2500 K
0.5000 0.5000 0.0000 Si
0.5000 0.5000 0.5000 Si
0.4543 0.5457 0.2500 Te
0.5457 0.4543 0.7500 Te
0.1116 0.8884 0.2500 Au
0.8884 0.1116 0.7500 Au
0.1070 0.8930 0.0232 Se
0.1070 0.8930 0.4768 Se
0.8930 0.1070 0.5232 Se
0.8930 0.1070 0.9768 Se
```